No. 1
# GGA-PBE BaCa2BiP, relaxed
data_BaCa2BiP
_chemical_formula_sum 'Ba1 Ca2 Bi1 P1'
_cell_length_a 5.475
_cell_length_b 5.475
_cell_length_c 6.130
_cell_angle_alpha 90.00
_cell_angle_beta 90.00
_cell_angle_gamma 90.00
_space_group_name_H-M_alt 'P 1'
_space_group_IT_number 1
_space_group_name_Hall 'P 1'
loop_
_atom_site_label
_atom_site_fract_x
_atom_site_fract_y
_atom_site_fract_z
P1 0.000 0.000 0.000
Ca1 0.000 0.500 0.000
Ca2 0.500 0.000 0.000
Bi1 0.500 0.500 0.500
Ba1 0.000 0.000 0.500
# Formation energy in eV per atom: -0.90
# DOS at the Fermi energy in states/eV/f.u.: 0.19

=====

No. 2
# GGA-PBE CuTcTe, relaxed
data_CuTcTe
_chemical_formula_sum 'Cu1 Tc1 Te1'
_cell_length_a 3.197
_cell_length_b 3.197
_cell_length_c 6.101
_cell_angle_alpha 90.00
_cell_angle_beta 90.00
_cell_angle_gamma 120.00
_space_group_name_H-M_alt 'P 1'
_space_group_IT_number 1
_space_group_name_Hall 'P 1'
loop_
_atom_site_label
_atom_site_fract_x
_atom_site_fract_y
_atom_site_fract_z
Cu1 0.000 0.000 0.018
Tc1 0.333 0.667 0.335
Te1 0.667 0.333 0.647
# Formation energy (no corrections) in eV per atom: 0.496
# DOS at the Fermi energy in states/eV/f.u.: 3.34
# Energy relative to the lowest polymorph listed for this composition in meV per atom: 354

=====

No. 3
# GGA-PBE Sm4HoN5, relaxed
data_Sm4HoN5
_chemical_formula_sum 'Sm4 Ho1 N5'
_cell_length_a 5.052
_cell_length_b 6.165
_cell_length_c 6.165
_cell_angle_alpha 80.34
_cell_angle_beta 65.81
_cell_angle_gamma 65.81
_space_group_name_H-M_alt 'P 1'
_space_group_IT_number 1
_space_group_name_Hall 'P 1'
loop_
_atom_site_label
_atom_site_fract_x
_atom_site_fract_y
_atom_site_fract_z
Sm1 0.406 0.399 0.802
Sm2 0.806 0.802 0.601
Sm3 0.208 0.198 0.399
Sm4 0.607 0.601 0.198
Ho1 0.009 0.000 0.000
N1 0.898 0.393 0.804
N2 0.291 0.804 0.607
N3 0.702 0.196 0.393
N4 0.095 0.607 0.196
N5 0.489 0.000 0.000
# Formation energy (no corrections) in eV per atom: -1.525
# DOS at the Fermi energy in states/eV/f.u.: 0.46

=====

No. 4
# GGA-PBE TlWSe2, relaxed
data_TlWSe2
_chemical_formula_sum 'Tl1 W1 Se2'
_cell_length_a 10.194
_cell_length_b 10.194
_cell_length_c 10.194
_cell_angle_alpha 18.90
_cell_angle_beta 18.90
_cell_angle_gamma 18.90
_space_group_name_H-M_alt 'P 1'
_space_group_IT_number 1
_space_group_name_Hall 'P 1'
loop_
_atom_site_label
_atom_site_fract_x
_atom_site_fract_y
_atom_site_fract_z
Tl1 0.000 0.000 0.000
Se1 0.890 0.890 0.890
Se2 0.110 0.110 0.110
W1 0.500 0.500 0.500
# Formation energy (no corrections) in eV per atom: -0.203
# DOS at the Fermi energy in states/eV/f.u.: 3.94
# Energy relative to the lowest polymorph listed for this composition in meV per atom: 0

=====

No. 5
# GGA-PBE AcPrRh2, relaxed
data_AcPrRh2
_chemical_formula_sum 'Ac1 Pr1 Rh2'
_cell_length_a 3.634
_cell_length_b 3.634
_cell_length_c 7.302
_cell_angle_alpha 90.00
_cell_angle_beta 90.00
_cell_angle_gamma 90.00
_space_group_name_H-M_alt 'P 1'
_space_group_IT_number 1
_space_group_name_Hall 'P 1'
loop_
_atom_site_label
_atom_site_fract_x
_atom_site_fract_y
_atom_site_fract_z
Pr1 0.500 0.500 0.500
Ac1 0.500 0.500 0.000
Rh1 0.000 0.000 0.736
Rh2 0.000 0.000 0.264
# Formation energy in eV per atom: -0.55
# DOS at the Fermi energy in states/eV/f.u.: 3.33
# Energy relative to the lowest polymorph listed for this composition in meV per atom: 106

=====

No. 6
# GGA-PBE La2TbSn, relaxed
data_La2TbSn
_chemical_formula_sum 'La2 Tb1 Sn1'
_cell_length_a 5.092
_cell_length_b 4.901
_cell_length_c 4.901
_cell_angle_alpha 90.00
_cell_angle_beta 90.00
_cell_angle_gamma 90.00
_space_group_name_H-M_alt 'P 1'
_space_group_IT_number 1
_space_group_name_Hall 'P 1'
loop_
_atom_site_label
_atom_site_fract_x
_atom_site_fract_y
_atom_site_fract_z
Tb1 0.500 0.500 0.500
Sn1 0.500 0.000 0.000
La1 0.000 0.000 0.500
La2 0.000 0.500 0.000
# Formation energy in eV per atom: -0.46
# DOS at the Fermi energy in states/eV/f.u.: 4.79
# Energy relative to the lowest polymorph listed for this composition in meV per atom: 0

=====

No. 7
# GGA-PBE NpTlSe2, relaxed
data_NpTlSe2
_chemical_formula_sum 'Np1 Tl1 Se2'
_cell_length_a 4.202
_cell_length_b 4.202
_cell_length_c 8.238
_cell_angle_alpha 75.23
_cell_angle_beta 75.23
_cell_angle_gamma 60.00
_space_group_name_H-M_alt 'P 1'
_space_group_IT_number 1
_space_group_name_Hall 'P 1'
loop_
_atom_site_label
_atom_site_fract_x
_atom_site_fract_y
_atom_site_fract_z
Np1 0.668 0.668 0.997
Tl1 0.497 0.497 0.509
Se1 0.068 0.068 0.796
Se2 0.267 0.267 0.198
# Formation energy (no corrections) in eV per atom: -0.883
# DOS at the Fermi energy in states/eV/f.u.: 11.78

=====

No. 8
# GGA-PBE BaLa2Th, relaxed
data_BaLa2Th
_chemical_formula_sum 'Ba1 La2 Th1'
_cell_length_a 3.726
_cell_length_b 3.726
_cell_length_c 11.438
_cell_angle_alpha 90.00
_cell_angle_beta 90.00
_cell_angle_gamma 90.00
_space_group_name_H-M_alt 'P 1'
_space_group_IT_number 1
_space_group_name_Hall 'P 1'
loop_
_atom_site_label
_atom_site_fract_x
_atom_site_fract_y
_atom_site_fract_z
Ba1 0.500 0.500 0.500
Th1 0.500 0.500 0.000
La1 0.000 0.000 0.790
La2 0.000 0.000 0.210
# Formation energy in eV per atom: 0.07
# DOS at the Fermi energy in states/eV/f.u.: 5.94
# Energy relative to the lowest polymorph listed for this composition in meV per atom: 0

=====

No. 9
# GGA-PBE Be2AsCl, relaxed
data_Be2AsCl
_chemical_formula_sum 'Be2 As1 Cl1'
_cell_length_a 3.721
_cell_length_b 5.238
_cell_length_c 3.831
_cell_angle_alpha 83.55
_cell_angle_beta 90.00
_cell_angle_gamma 90.00
_space_group_name_H-M_alt 'P 1'
_space_group_IT_number 1
_space_group_name_Hall 'P 1'
loop_
_atom_site_label
_atom_site_fract_x
_atom_site_fract_y
_atom_site_fract_z
Be1 0.000 0.805 0.979
Be2 0.500 0.217 0.336
As1 0.500 0.004 0.866
Cl1 0.000 0.474 0.318
# Formation energy (no corrections) in eV per atom: -0.414
# DOS at the Fermi energy in states/eV/f.u.: 0.00
# Energy relative to the lowest polymorph listed for this composition in meV per atom: 0

=====

No. 10
# GGA-PBE Li2HfAl, relaxed
data_Li2HfAl
_chemical_formula_sum 'Li4 Hf2 Al2'
_cell_length_a 7.289
_cell_length_b 7.289
_cell_length_c 5.869
_cell_angle_alpha 51.61
_cell_angle_beta 51.61
_cell_angle_gamma 90.00
_space_group_name_H-M_alt 'P 1'
_space_group_IT_number 1
_space_group_name_Hall 'P 1'
loop_
_atom_site_label
_atom_site_fract_x
_atom_site_fract_y
_atom_site_fract_z
Hf1 0.000 0.000 0.000
Hf2 0.750 0.250 0.500
Al1 0.500 0.500 0.000
Al2 0.250 0.750 0.500
Li1 0.596 0.125 0.250
Li2 0.154 0.625 0.250
Li3 0.375 0.404 0.750
Li4 0.875 0.846 0.750
# Formation energy in eV per atom: 0.44
# DOS at the Fermi energy in states/eV/f.u.: 2.54

=====

No. 11
# GGA-PBE BaIn2TeS6, relaxed
data_BaIn2TeS6
_chemical_formula_sum 'Ba2 In4 Te2 S12'
_cell_length_a 8.357
_cell_length_b 9.038
_cell_length_c 9.038
_cell_angle_alpha 71.24
_cell_angle_beta 69.73
_cell_angle_gamma 69.73
_space_group_name_H-M_alt 'P 1'
_space_group_IT_number 1
_space_group_name_Hall 'P 1'
loop_
_atom_site_label
_atom_site_fract_x
_atom_site_fract_y
_atom_site_fract_z
Ba1 0.250 0.796 0.204
Ba2 0.750 0.204 0.796
In1 0.354 0.803 0.641
In2 0.146 0.359 0.197
In3 0.646 0.197 0.359
In4 0.854 0.641 0.803
Te1 0.250 0.239 0.761
Te2 0.750 0.761 0.239
S1 0.149 0.998 0.821
S2 0.351 0.179 0.002
S3 0.851 0.002 0.179
S4 0.649 0.821 0.998
S5 0.434 0.944 0.350
S6 0.066 0.650 0.056
S7 0.566 0.056 0.650
S8 0.934 0.350 0.944
S9 0.120 0.708 0.598
S10 0.380 0.402 0.292
S11 0.880 0.292 0.402
S12 0.620 0.598 0.708
# Formation energy (no corrections) in eV per atom: -0.633
# DOS at the Fermi energy in states/eV/f.u.: 0.00

=====

No. 12
# GGA-PBE K2SnSeO, relaxed
data_K2SnSeO
_chemical_formula_sum 'K4 Sn2 Se2 O2'
_cell_length_a 4.193
_cell_length_b 7.810
_cell_length_c 9.298
_cell_angle_alpha 106.59
_cell_angle_beta 90.00
_cell_angle_gamma 90.00
_space_group_name_H-M_alt 'P 1'
_space_group_IT_number 1
_space_group_name_Hall 'P 1'
loop_
_atom_site_label
_atom_site_fract_x
_atom_site_fract_y
_atom_site_fract_z
K1 0.750 0.742 0.626
K2 0.750 0.877 0.090
K3 0.250 0.258 0.374
K4 0.250 0.123 0.910
Sn1 0.250 0.523 0.858
Sn2 0.750 0.477 0.142
Se1 0.250 0.668 0.330
Se2 0.750 0.332 0.670
O1 0.250 0.778 0.846
O2 0.750 0.222 0.154
# Formation energy (no corrections) in eV per atom: -1.106
# Energy relative to the lowest polymorph listed for this composition in meV per atom: 0

=====

Please write out number 8 again, unchanged.
# GGA-PBE BaLa2Th, relaxed
data_BaLa2Th
_chemical_formula_sum 'Ba1 La2 Th1'
_cell_length_a 3.726
_cell_length_b 3.726
_cell_length_c 11.438
_cell_angle_alpha 90.00
_cell_angle_beta 90.00
_cell_angle_gamma 90.00
_space_group_name_H-M_alt 'P 1'
_space_group_IT_number 1
_space_group_name_Hall 'P 1'
loop_
_atom_site_label
_atom_site_fract_x
_atom_site_fract_y
_atom_site_fract_z
Ba1 0.500 0.500 0.500
Th1 0.500 0.500 0.000
La1 0.000 0.000 0.790
La2 0.000 0.000 0.210
# Formation energy in eV per atom: 0.07
# DOS at the Fermi energy in states/eV/f.u.: 5.94
# Energy relative to the lowest polymorph listed for this composition in meV per atom: 0

=====

Question: Which formula does entry 5 have?
Answer: AcPrRh2